Density functional theory data (PBE) for a relaxed structure of BaTaNi2Os.

Structure (extended XYZ):
```
5
Lattice="4.8317 0.0000 0.0000 0.0000 4.8317 0.0000 0.0000 0.0000 4.8568" Properties=species:S:1:pos:R:3 pbc="T T T"
Ba 0.0000 0.0000 0.0000
Ta 2.4158 2.4158 2.4284
Ni 0.0000 2.4158 2.4284
Ni 2.4158 0.0000 2.4284
Os 2.4158 2.4158 0.0000
```

## Properties
ρ: 9.167 Mg/m³
DFT formation energy: 4.1 eV/f.u.
SG: P4/mmm
size of the total moment: 0.0 μB per cell

***

Density functional theory data (PBE) for a relaxed structure of Li2LaPmTl4.

Structure (extended XYZ):
```
8
Lattice="2.6556 1.5332 8.6781 -2.6556 1.5332 8.6781 0.0000 -3.0664 8.6781" Properties=species:S:1:pos:R:3 pbc="T T T"
Li 0.0000 0.0000 6.4852
Li 0.0000 0.0000 19.5492
La 0.0000 0.0000 0.0000
Pm 0.0000 0.0000 13.0172
Tl 0.0000 0.0000 3.2950
Tl 0.0000 0.0000 9.8050
Tl 0.0000 0.0000 16.2294
Tl 0.0000 0.0000 22.7394
```

## Properties
ρ: 8.736 Mg/m³
DFT formation energy: -2.8 eV/f.u.
SG: R-3m
size of the total moment: 0.0 μB per cell

***

Density functional theory data (PBE) for a relaxed structure of Pm4HoSi2.

Structure (extended XYZ):
```
14
Lattice="10.3148 0.0000 0.0000 0.0000 10.3148 0.0000 0.0000 0.0000 3.5989" Properties=species:S:1:pos:R:3 pbc="T T T"
Pm 1.0161 3.2301 0.0000
Pm 1.9273 6.1735 1.7995
Pm 3.2301 1.0161 0.0000
Pm 4.1414 8.3875 1.7995
Pm 6.1735 1.9273 1.7995
Pm 7.0847 9.2988 0.0000
Pm 8.3875 4.1414 1.7995
Pm 9.2988 7.0847 0.0000
Ho 0.0000 0.0000 1.7995
Ho 5.1574 5.1574 0.0000
Si 1.6597 8.6551 0.0000
Si 3.4977 3.4977 1.7995
Si 6.8172 6.8172 1.7995
Si 8.6551 1.6597 0.0000
```

## Properties
ρ: 6.948 Mg/m³
energy relative to the elements, uncorrected: -0.346 eV/atom
SG: P4_2/mnm
size of the total moment: 0.0 μB per cell